1.
A plane-wave DFT calculation with PBE+U was carried out for crystalline Mn2O3F at its relaxed geometry.

Lattice parameters (Å, degrees): 9.073 6.335 6.619 90.00 90.00 90.00
Space group Amm2 (No. 38)
Symmetry-distinct sites (fractional):
Mn 0.000 0.000 0.000 [2 per cell]
Mn 0.167 0.000 0.526 [4 per cell]
Mn 0.333 0.000 0.046 [4 per cell]
Mn 0.500 0.000 0.515 [2 per cell]
O 0.000 0.000 0.712 [2 per cell]
O 0.167 0.191 0.019 [8 per cell]
O 0.331 0.000 0.336 [4 per cell]
O 0.500 0.195 0.044 [4 per cell]
F 0.000 0.000 0.302 [2 per cell]
F 0.343 0.000 0.738 [4 per cell]

- mass density (kg/m3) = 4632
- DFT total energy (eV/atom) = -6.89



2.
A plane-wave DFT calculation with PBE+U was carried out for crystalline Mn2OF3 at its relaxed geometry.

Lattice parameters (Å, degrees): 9.774 6.318 10.764 90.00 115.17 90.00
Space group C2/m (No. 12)
Symmetry-distinct sites (fractional):
Mn 0.000 0.000 0.000 [2 per cell]
Mn 0.000 0.500 0.000 [2 per cell]
Mn 0.124 0.245 0.749 [8 per cell]
Mn 0.238 0.500 0.519 [4 per cell]
O 0.082 0.000 0.837 [4 per cell]
O 0.163 0.500 0.665 [4 per cell]
F 0.074 0.500 0.851 [4 per cell]
F 0.099 0.247 0.398 [8 per cell]
F 0.153 0.249 0.103 [8 per cell]
F 0.180 0.000 0.642 [4 per cell]

- mass density (kg/m3) = 4039
- DFT total energy (eV/atom) = -6.55



3.
A plane-wave DFT calculation with PBE+U was carried out for crystalline Mn4OF8 at its relaxed geometry.

Lattice parameters (Å, degrees): 9.995 5.202 14.560 90.00 94.35 90.00
Space group Cc (No. 9)
Symmetry-distinct sites (fractional):
Mn 0.000 0.010 0.000 [4 per cell]
Mn 0.012 0.015 0.302 [4 per cell]
Mn 0.326 0.079 0.382 [4 per cell]
Mn 0.327 0.023 0.146 [4 per cell]
O 0.012 0.230 0.897 [4 per cell]
F 0.131 0.208 0.396 [4 per cell]
F 0.158 0.147 0.066 [4 per cell]
F 0.202 0.077 0.759 [4 per cell]
F 0.352 0.222 0.531 [4 per cell]
F 0.355 0.328 0.251 [4 per cell]
F 0.373 0.305 0.914 [4 per cell]
F 0.474 0.193 0.725 [4 per cell]
F 0.475 0.268 0.094 [4 per cell]

- mass density (kg/m3) = 3412
- DFT total energy (eV/atom) = -6.22



4.
A plane-wave DFT calculation with PBE+U was carried out for crystalline Mn2OF3 at its relaxed geometry.

Lattice parameters (Å, degrees): 7.106 6.765 12.595 90.00 90.00 90.00
Space group Cmcm (No. 63)
Symmetry-distinct sites (fractional):
Mn 0.000 0.000 0.000 [4 per cell]
Mn 0.000 0.009 0.250 [4 per cell]
Mn 0.000 0.462 0.625 [8 per cell]
O 0.000 0.166 0.626 [8 per cell]
F 0.000 0.216 0.130 [8 per cell]
F 0.196 0.474 0.750 [8 per cell]
F 0.203 0.500 0.000 [8 per cell]

- mass density (kg/m3) = 4012
- DFT total energy (eV/atom) = -6.55



5.
A plane-wave DFT calculation with PBE+U was carried out for crystalline Mn2OF3 at its relaxed geometry.

Lattice parameters (Å, degrees): 12.708 7.071 6.716 90.00 90.00 90.00
Space group Amm2 (No. 38)
Symmetry-distinct sites (fractional):
Mn 0.000 0.000 0.000 [2 per cell]
Mn 0.125 0.000 0.534 [4 per cell]
Mn 0.249 0.000 0.070 [4 per cell]
Mn 0.374 0.000 0.540 [4 per cell]
Mn 0.500 0.000 0.073 [2 per cell]
O 0.000 0.000 0.702 [2 per cell]
O 0.248 0.000 0.366 [4 per cell]
O 0.500 0.000 0.364 [2 per cell]
F 0.000 0.000 0.316 [2 per cell]
F 0.125 0.204 0.034 [8 per cell]
F 0.254 0.000 0.752 [4 per cell]
F 0.376 0.194 0.061 [8 per cell]
F 0.500 0.000 0.756 [2 per cell]

- mass density (kg/m3) = 4026
- DFT total energy (eV/atom) = -6.55



6.
A plane-wave DFT calculation with PBE+U was carried out for crystalline Mn2OF3 at its relaxed geometry.

Lattice parameters (Å, degrees): 6.334 6.980 6.779 90.00 90.00 90.00
Space group Imma (No. 74)
Symmetry-distinct sites (fractional):
Mn 0.000 0.250 0.213 [4 per cell]
Mn 0.250 0.250 0.750 [4 per cell]
O 0.000 0.250 0.914 [4 per cell]
F 0.000 0.250 0.532 [4 per cell]
F 0.250 0.046 0.250 [8 per cell]

- mass density (kg/m3) = 4053
- DFT total energy (eV/atom) = -6.57



7.
A plane-wave DFT calculation with PBE+U was carried out for crystalline Mn6OF11 at its relaxed geometry.

Lattice parameters (Å, degrees): 3.291 21.159 6.908 90.00 90.00 90.00
Space group Amm2 (No. 38)
Symmetry-distinct sites (fractional):
Mn 0.000 0.000 0.000 [2 per cell]
Mn 0.000 0.166 0.509 [4 per cell]
Mn 0.500 0.000 0.536 [2 per cell]
Mn 0.500 0.167 0.010 [4 per cell]
O 0.000 0.000 0.708 [2 per cell]
F 0.000 0.000 0.321 [2 per cell]
F 0.000 0.166 0.814 [4 per cell]
F 0.000 0.167 0.204 [4 per cell]
F 0.500 0.064 0.017 [4 per cell]
F 0.500 0.101 0.502 [4 per cell]
F 0.500 0.232 0.510 [4 per cell]

- mass density (kg/m3) = 3829
- DFT total energy (eV/atom) = -6.46



8.
A plane-wave DFT calculation with PBE+U was carried out for crystalline Mn3O4F2 at its relaxed geometry.

Lattice parameters (Å, degrees): 9.101 6.301 7.594 90.00 114.57 90.00
Space group C2/m (No. 12)
Symmetry-distinct sites (fractional):
Mn 0.000 0.000 0.000 [2 per cell]
Mn 0.000 0.000 0.500 [2 per cell]
Mn 0.162 0.500 0.172 [4 per cell]
Mn 0.187 0.500 0.649 [4 per cell]
O 0.000 0.303 0.000 [4 per cell]
O 0.086 0.000 0.287 [4 per cell]
O 0.177 0.194 0.652 [8 per cell]
F 0.033 0.500 0.353 [4 per cell]
F 0.218 0.000 0.030 [4 per cell]

- mass density (kg/m3) = 4474
- DFT total energy (eV/atom) = -6.83



9.
A plane-wave DFT calculation with PBE+U was carried out for crystalline Mn6OF11 at its relaxed geometry.

Lattice parameters (Å, degrees): 4.903 5.876 16.269 90.55 91.34 91.25
Space group P-1 (No. 2)
Symmetry-distinct sites (fractional):
Mn 0.002 0.343 0.087 [2 per cell]
Mn 0.008 0.332 0.418 [2 per cell]
Mn 0.023 0.671 0.255 [2 per cell]
Mn 0.480 0.834 0.411 [2 per cell]
Mn 0.485 0.164 0.916 [2 per cell]
Mn 0.487 0.150 0.252 [2 per cell]
O 0.254 0.879 0.300 [2 per cell]
F 0.206 0.374 0.645 [2 per cell]
F 0.210 0.586 0.799 [2 per cell]
F 0.226 0.629 0.147 [2 per cell]
F 0.231 0.396 0.975 [2 per cell]
F 0.231 0.406 0.305 [2 per cell]
F 0.234 0.110 0.805 [2 per cell]
F 0.237 0.603 0.477 [2 per cell]
F 0.264 0.889 0.975 [2 per cell]
F 0.272 0.108 0.477 [2 per cell]
F 0.284 0.880 0.639 [2 per cell]
F 0.301 0.128 0.134 [2 per cell]

- mass density (kg/m3) = 3932
- DFT total energy (eV/atom) = -6.36



10.
A plane-wave DFT calculation with PBE+U was carried out for crystalline Mn6O5F7 at its relaxed geometry.

Lattice parameters (Å, degrees): 6.450 6.965 9.471 90.00 90.01 90.00
Space group C2 (No. 5)
Symmetry-distinct sites (fractional):
Mn 0.000 0.000 0.000 [2 per cell]
Mn 0.000 0.466 0.500 [2 per cell]
Mn 0.002 0.497 0.841 [4 per cell]
Mn 0.029 0.998 0.340 [4 per cell]
O 0.000 0.171 0.500 [2 per cell]
O 0.179 0.486 0.667 [4 per cell]
O 0.196 0.502 0.002 [4 per cell]
F 0.000 0.770 0.500 [2 per cell]
F 0.011 0.190 0.167 [4 per cell]
F 0.014 0.812 0.176 [4 per cell]
F 0.218 0.488 0.322 [4 per cell]

- mass density (kg/m3) = 4236
- DFT total energy (eV/atom) = -6.68



11.
A plane-wave DFT calculation with PBE+U was carried out for crystalline Mn6OF11 at its relaxed geometry.

Lattice parameters (Å, degrees): 7.644 7.309 15.547 90.00 92.27 90.00
Space group C2/m (No. 12)
Symmetry-distinct sites (fractional):
Mn 0.000 0.248 0.000 [4 per cell]
Mn 0.016 0.250 0.337 [8 per cell]
Mn 0.192 0.500 0.503 [4 per cell]
Mn 0.236 0.500 0.833 [4 per cell]
Mn 0.250 0.000 0.829 [4 per cell]
O 0.002 0.500 0.419 [4 per cell]
F 0.014 0.500 0.918 [4 per cell]
F 0.023 0.500 0.249 [4 per cell]
F 0.028 0.000 0.743 [4 per cell]
F 0.032 0.000 0.084 [4 per cell]
F 0.122 0.000 0.409 [4 per cell]
F 0.193 0.189 0.575 [8 per cell]
F 0.241 0.228 0.916 [8 per cell]
F 0.250 0.224 0.257 [8 per cell]

- mass density (kg/m3) = 4245
- DFT total energy (eV/atom) = -6.44



12.
A plane-wave DFT calculation with PBE+U was carried out for crystalline Mn3O4F2 at its relaxed geometry.

Lattice parameters (Å, degrees): 4.613 5.574 7.671 85.90 89.02 87.98
Space group P1 (No. 1)
Symmetry-distinct sites (fractional):
Mn 0.000 0.000 0.000 [1 per cell]
Mn 0.003 0.352 0.693 [1 per cell]
Mn 0.469 0.826 0.658 [1 per cell]
Mn 0.498 0.508 0.010 [1 per cell]
Mn 0.520 0.164 0.338 [1 per cell]
Mn 0.985 0.677 0.333 [1 per cell]
O 0.188 0.708 0.108 [1 per cell]
O 0.206 0.055 0.775 [1 per cell]
O 0.294 0.541 0.781 [1 per cell]
O 0.302 0.885 0.435 [1 per cell]
O 0.699 0.459 0.238 [1 per cell]
O 0.800 0.958 0.228 [1 per cell]
O 0.801 0.300 0.907 [1 per cell]
O 0.804 0.637 0.569 [1 per cell]
F 0.203 0.379 0.448 [1 per cell]
F 0.292 0.207 0.116 [1 per cell]
F 0.688 0.808 0.884 [1 per cell]
F 0.716 0.145 0.577 [1 per cell]

- mass density (kg/m3) = 4507
- DFT total energy (eV/atom) = -6.81



13.
A plane-wave DFT calculation with PBE+U was carried out for crystalline Mn2OF3 at its relaxed geometry.

Lattice parameters (Å, degrees): 10.608 6.036 4.805 90.00 90.00 90.00
Space group Pnma (No. 62)
Symmetry-distinct sites (fractional):
Mn 0.000 0.000 0.000 [4 per cell]
Mn 0.219 0.250 0.455 [4 per cell]
O 0.068 0.250 0.194 [4 per cell]
F 0.103 0.750 0.203 [4 per cell]
F 0.161 0.001 0.751 [8 per cell]

- mass density (kg/m3) = 3948
- DFT total energy (eV/atom) = -6.55



14.
A plane-wave DFT calculation with PBE+U was carried out for crystalline Mn6O7F5 at its relaxed geometry.

Lattice parameters (Å, degrees): 4.779 5.637 7.740 84.36 86.02 85.02
Space group P1 (No. 1)
Symmetry-distinct sites (fractional):
Mn 0.000 0.000 0.000 [1 per cell]
Mn 0.005 0.661 0.353 [1 per cell]
Mn 0.504 0.503 0.016 [1 per cell]
Mn 0.538 0.847 0.689 [1 per cell]
Mn 0.552 0.190 0.345 [1 per cell]
Mn 0.984 0.348 0.683 [1 per cell]
O 0.325 0.467 0.251 [1 per cell]
O 0.335 0.815 0.915 [1 per cell]
O 0.698 0.876 0.450 [1 per cell]
O 0.699 0.201 0.107 [1 per cell]
O 0.717 0.549 0.789 [1 per cell]
O 0.833 0.384 0.466 [1 per cell]
O 0.835 0.064 0.775 [1 per cell]
F 0.171 0.955 0.238 [1 per cell]
F 0.201 0.316 0.893 [1 per cell]
F 0.203 0.628 0.597 [1 per cell]
F 0.320 0.151 0.580 [1 per cell]
F 0.824 0.692 0.113 [1 per cell]

- mass density (kg/m3) = 4319
- DFT total energy (eV/atom) = -6.78